# MgRhO3, optimized geometry, DFT GGA-PBE
# M_tot = 0.000 μB per atom
# Theoretical density = 4.2 g/cm³
# DFT total energy = -29.1 eV per cell
# Energy relative to the elements, uncorrected = -1057 meV/atom
data_MgRhO3
_symmetry_space_group_name_H-M 'P -6 m 2'
_symmetry_Int_Tables_number 187
_symmetry_space_group_name_Hall 'P -6 2'
_cell_length_a 5.3203
_cell_length_b 5.3203
_cell_length_c 2.8270
_cell_angle_alpha 90.00
_cell_angle_beta 90.00
_cell_angle_gamma 120.00
loop_
_atom_site_label
_atom_site_type_symbol
_atom_site_fract_x
_atom_site_fract_y
_atom_site_fract_z
Mg1 Mg 0.0000 0.0000 0.0000
Rh1 Rh 0.6667 0.3333 0.0000
O1 O 0.3444 0.1722 0.5000

***

# EuYIr2, optimized geometry, DFT GGA-PBE
# M_tot = 1.676 μB per atom
# Theoretical density = 12.4 g/cm³
# DFT total energy = -36.4 eV per cell
# Energy relative to the lowest polymorph listed for this composition = 0 meV per atom
data_EuYIr2
_symmetry_space_group_name_H-M 'P 4/m m m'
_symmetry_Int_Tables_number 123
_symmetry_space_group_name_Hall '-P 4 2'
_cell_length_a 3.3555
_cell_length_b 3.3555
_cell_length_c 7.4144
_cell_angle_alpha 90.00
_cell_angle_beta 90.00
_cell_angle_gamma 90.00
loop_
_atom_site_label
_atom_site_type_symbol
_atom_site_fract_x
_atom_site_fract_y
_atom_site_fract_z
Eu1 Eu 0.0000 0.0000 0.0000
Y1 Y 0.0000 0.0000 0.5000
Ir1 Ir 0.5000 0.5000 0.2664

***

# LaPm12Nd7, optimized geometry, DFT GGA-PBE
# M_tot = 0.000 μB per atom
# Theoretical density = 6.7 g/cm³
# DFT total energy = -273.1 eV per cell
# Energy relative to the lowest polymorph listed for this composition = 0 meV per atom
data_LaPm12Nd7
_symmetry_space_group_name_H-M 'R -3'
_symmetry_Int_Tables_number 148
_symmetry_space_group_name_Hall '-R 3'
_cell_length_a 12.3741
_cell_length_b 12.3741
_cell_length_c 16.0810
_cell_angle_alpha 90.00
_cell_angle_beta 90.00
_cell_angle_gamma 120.00
loop_
_atom_site_label
_atom_site_type_symbol
_atom_site_fract_x
_atom_site_fract_y
_atom_site_fract_z
La1 La 0.0000 0.0000 0.0000
Pm1 Pm 0.0214 0.4446 0.2204
Pm2 Pm 0.0539 0.1875 0.2948
Nd1 Nd 0.0000 0.0000 0.5000
Nd2 Nd 0.0516 0.5896 0.5821

***

# LiY2Ta, optimized geometry, DFT GGA-PBE
# M_tot = 0.000 μB per atom
# Theoretical density = 6.2 g/cm³
# DFT total energy = -49.6 eV per cell
# Energy relative to the lowest polymorph listed for this composition = 221 meV per atom
data_LiY2Ta
_symmetry_space_group_name_H-M 'C 1 2/m 1'
_symmetry_Int_Tables_number 12
_cell_length_a 10.2210
_cell_length_b 3.1532
_cell_length_c 6.2236
_cell_angle_alpha 90.00
_cell_angle_beta 100.09
_cell_angle_gamma 90.00
loop_
_symmetry_equiv_pos_as_xyz
'x,y,z'
'-x,-y,-z'
'-x,y,-z'
'x,-y,z'
'x+1/2,y+1/2,z'
'-x+1/2,-y+1/2,-z'
'-x+1/2,y+1/2,-z'
'x+1/2,-y+1/2,z'
loop_
_atom_site_label
_atom_site_type_symbol
_atom_site_fract_x
_atom_site_fract_y
_atom_site_fract_z
Li1 Li 0.0000 0.0000 0.0000
Y1 Y 0.2473 0.0000 0.7369
Ta1 Ta 0.0000 0.5000 0.5000

***

# CaGaSn2, optimized geometry, DFT GGA-PBE
# M_tot = 0.000 μB per atom
# Theoretical density = 5.7 g/cm³
# DFT total energy = -14.5 eV per cell
data_CaGaSn2
_symmetry_space_group_name_H-M 'P 4/m m m'
_symmetry_Int_Tables_number 123
_symmetry_space_group_name_Hall '-P 4 2'
_cell_length_a 4.5700
_cell_length_b 4.5700
_cell_length_c 4.8114
_cell_angle_alpha 90.00
_cell_angle_beta 90.00
_cell_angle_gamma 90.00
loop_
_atom_site_label
_atom_site_type_symbol
_atom_site_fract_x
_atom_site_fract_y
_atom_site_fract_z
Ca1 Ca 0.0000 0.0000 0.0000
Ga1 Ga 0.5000 0.5000 0.0000
Sn1 Sn 0.0000 0.5000 0.5000

***

# Pm2TmScS6, optimized geometry, DFT GGA-PBE
# M_tot = 0.000 μB per atom
# Theoretical density = 5.0 g/cm³
# DFT total energy = -130.8 eV per cell
# Energy relative to the elements, uncorrected = -2033 meV/atom
data_Pm2TmScS6
_symmetry_space_group_name_H-M 'P 1 21/c 1'
_symmetry_Int_Tables_number 14
_cell_length_a 6.5645
_cell_length_b 7.2091
_cell_length_c 11.6854
_cell_angle_alpha 90.00
_cell_angle_beta 123.42
_cell_angle_gamma 90.00
loop_
_symmetry_equiv_pos_as_xyz
'x,y,z'
'-x,-y,-z'
'-x,y+1/2,-z+1/2'
'x,-y+1/2,z+1/2'
loop_
_atom_site_label
_atom_site_type_symbol
_atom_site_fract_x
_atom_site_fract_y
_atom_site_fract_z
Pm1 Pm 0.2091 0.0973 0.2481
Tm1 Tm 0.5000 0.0000 0.0000
Sc1 Sc 0.0000 0.0000 0.5000
S1 S 0.1026 0.1902 0.9302
S2 S 0.2470 0.6825 0.9302
S3 S 0.3852 0.0477 0.7441

***

# NbVZnRh, optimized geometry, DFT GGA-PBE
# M_tot = 0.722 μB per atom
# Theoretical density = 8.5 g/cm³
# DFT total energy = -114.6 eV per cell
data_NbVZnRh
_symmetry_space_group_name_H-M 'F -4 3 m'
_symmetry_Int_Tables_number 216
_symmetry_space_group_name_Hall 'F -4 2 3'
_cell_length_a 6.2443
_cell_length_b 6.2443
_cell_length_c 6.2443
_cell_angle_alpha 90.00
_cell_angle_beta 90.00
_cell_angle_gamma 90.00
loop_
_atom_site_label
_atom_site_type_symbol
_atom_site_fract_x
_atom_site_fract_y
_atom_site_fract_z
Nb1 Nb 0.0000 0.0000 0.0000
V1 V 0.2500 0.2500 0.7500
Zn1 Zn 0.0000 0.0000 0.5000
Rh1 Rh 0.2500 0.2500 0.2500

***

# Na4NdU3N8, optimized geometry, DFT GGA-PBE
# M_tot = 0.067 μB per atom
# Theoretical density = 7.2 g/cm³
# DFT total energy = -380.7 eV per cell
# Energy relative to the elements, uncorrected = -1023 meV/atom
data_Na4NdU3N8
_symmetry_space_group_name_H-M 'R -3 m'
_symmetry_Int_Tables_number 166
_symmetry_space_group_name_Hall '-R 3 2"'
_cell_length_a 7.0701
_cell_length_b 7.0701
_cell_length_c 17.0452
_cell_angle_alpha 90.00
_cell_angle_beta 90.00
_cell_angle_gamma 120.00
loop_
_atom_site_label
_atom_site_type_symbol
_atom_site_fract_x
_atom_site_fract_y
_atom_site_fract_z
Na1 Na 0.0000 0.0000 0.0000
Na2 Na 0.0000 0.5000 0.0000
Nd1 Nd 0.0000 0.0000 0.5000
U1 U 0.0000 0.5000 0.5000
N1 N 0.0000 0.0000 0.2292
N2 N 0.0320 0.5160 0.7728

***

# PPtIO2, optimized geometry, DFT GGA-PBE
# M_tot = 0.043 μB per atom
# Theoretical density = 5.2 g/cm³
# DFT total energy = -21.3 eV per cell
# Energy relative to the lowest polymorph listed for this composition = 400 meV per atom
# Energy relative to the elements, uncorrected = 315 meV/atom
data_PPtIO2
_symmetry_space_group_name_H-M 'P 4/m m m'
_symmetry_Int_Tables_number 123
_symmetry_space_group_name_Hall '-P 4 2'
_cell_length_a 3.8080
_cell_length_b 3.8080
_cell_length_c 8.5090
_cell_angle_alpha 90.00
_cell_angle_beta 90.00
_cell_angle_gamma 90.00
loop_
_atom_site_label
_atom_site_type_symbol
_atom_site_fract_x
_atom_site_fract_y
_atom_site_fract_z
P1 P 0.0000 0.0000 0.0000
Pt1 Pt 0.5000 0.5000 0.5000
I1 I 0.5000 0.5000 0.0000
O1 O 0.0000 0.5000 0.5000

***

# Tb2GdPu, optimized geometry, DFT GGA-PBE
# M_tot = 3.452 μB per atom
# Theoretical density = 9.6 g/cm³
# DFT total energy = -37.1 eV per cell
# Energy relative to the lowest polymorph listed for this composition = 33 meV per atom
data_Tb2GdPu
_symmetry_space_group_name_H-M 'P 4/m m m'
_symmetry_Int_Tables_number 123
_symmetry_space_group_name_Hall '-P 4 2'
_cell_length_a 4.9810
_cell_length_b 4.9810
_cell_length_c 4.9951
_cell_angle_alpha 90.00
_cell_angle_beta 90.00
_cell_angle_gamma 90.00
loop_
_atom_site_label
_atom_site_type_symbol
_atom_site_fract_x
_atom_site_fract_y
_atom_site_fract_z
Tb1 Tb 0.0000 0.5000 0.0000
Gd1 Gd 0.0000 0.0000 0.5000
Pu1 Pu 0.5000 0.5000 0.5000

***

# CrInPt3, optimized geometry, DFT GGA-PBE
# M_tot = 0.000 μB per atom
# Theoretical density = 12.5 g/cm³
# DFT total energy = -27.1 eV per cell
# Energy relative to the lowest polymorph listed for this composition = 0 meV per atom
data_CrInPt3
_symmetry_space_group_name_H-M 'P m -3 m'
_symmetry_Int_Tables_number 221
_symmetry_space_group_name_Hall '-P 4 2 3'
_cell_length_a 4.6463
_cell_length_b 4.6463
_cell_length_c 4.6463
_cell_angle_alpha 90.00
_cell_angle_beta 90.00
_cell_angle_gamma 90.00
loop_
_atom_site_label
_atom_site_type_symbol
_atom_site_fract_x
_atom_site_fract_y
_atom_site_fract_z
Cr1 Cr 0.0000 0.0000 0.0000
In1 In 0.5000 0.5000 0.5000
Pt1 Pt 0.0000 0.0000 0.5000

***

# ReTcIr3, optimized geometry, DFT GGA-PBE
# M_tot = 0.827 μB per atom
# Theoretical density = 13.6 g/cm³
# DFT total energy = -39.6 eV per cell
# Energy relative to the lowest polymorph listed for this composition = 2085 meV per atom
data_ReTcIr3
_symmetry_space_group_name_H-M 'P m -3 m'
_symmetry_Int_Tables_number 221
_symmetry_space_group_name_Hall '-P 4 2 3'
_cell_length_a 4.7153
_cell_length_b 4.7153
_cell_length_c 4.7153
_cell_angle_alpha 90.00
_cell_angle_beta 90.00
_cell_angle_gamma 90.00
loop_
_atom_site_label
_atom_site_type_symbol
_atom_site_fract_x
_atom_site_fract_y
_atom_site_fract_z
Re1 Re 0.0000 0.0000 0.0000
Tc1 Tc 0.5000 0.5000 0.5000
Ir1 Ir 0.0000 0.0000 0.5000